# LiIn3Pd6 (PBE-GGA, optimized geometry)
# DOS(E_F) in states/eV/f.u.: 3.63
# Energy above the lowest structure with this stoichiometry in meV per atom: 0
# DFT formation energy in eV/atom: -0.4826
# Electronic total energy in eV for the cell shown: -92.23
data_LiIn3Pd6
_cell_length_a 7.591
_cell_length_b 4.694
_cell_length_c 10.032
_cell_angle_alpha 90.00
_cell_angle_beta 111.88
_cell_angle_gamma 90.00
_symmetry_space_group_name_H-M 'P 1 21/m 1'
_symmetry_Int_Tables_number 11
_symmetry_space_group_name_Hall '-P 2yb'
loop_
_atom_site_label
_atom_site_type_symbol
_atom_site_fract_x
_atom_site_fract_y
_atom_site_fract_z
_atom_site_occupancy
Li1 Li 0.048 0.250 0.419 1
In1 In 0.217 0.250 0.013 1
In2 In 0.350 0.750 0.778 1
In3 In 0.452 0.250 0.614 1
Pd1 Pd 0.058 0.750 0.866 1
Pd2 Pd 0.138 0.250 0.706 1
Pd3 Pd 0.161 0.750 0.182 1
Pd4 Pd 0.250 0.750 0.484 1
Pd5 Pd 0.336 0.250 0.319 1
Pd6 Pd 0.465 0.750 0.077 1